UF3: optimized geometry, GGA-PBE.

- raw formation energy (meV/atom) = -3265
- uncorrected energy (eV/atom) = -7.490
- volume (Å³ per cell) = 97.1

Unit cell a=3.730 b=3.730 c=6.979 alpha=90.00 beta=90.00 gamma=90.00
Space group I4/mmm (No. 139)
Asymmetric unit:
U (0.000, 0.000, 0.000) [2 per cell]
F (0.000, 0.000, 0.500) [2 per cell]
F (0.000, 0.500, 0.250) [4 per cell]

U2F9: optimized geometry, GGA-PBE.

- raw formation energy (meV/atom) = -3551
- uncorrected energy (eV/atom) = -7.135
- volume (Å³ per cell) = 619.9

Unit cell a=8.527 b=8.527 c=8.527 alpha=90.00 beta=90.00 gamma=90.00
Space group I-43m (No. 217)
Asymmetric unit:
U (0.187, 0.187, 0.813) [8 per cell]
F (0.000, 0.000, 0.227) [12 per cell]
F (0.061, 0.294, 0.294) [24 per cell]